(1)
A plane-wave DFT calculation with PBE was carried out for a relaxed CoAsOs crystal.

The raw total energy is -7.346 eV per atom. Its symmetry is I4mm (107). The calculation puts the volume at 40.71 Å³/cell. For the formation energy, the calculation gives 0.32 eV per atom. The energy above the most stable polymorph in this dataset comes out at 0.0392 eV/atom.

Lattice parameters (Å, degrees): 5.0223 5.0223 5.0223 145.37 145.37 49.78
With the nearest neighbours (Å) after each atom.
Element x y z (fractional)
1 As 0.9985 0.9985 0.0000  4 Co 2.54, 4 Os 2.57
2 Co 0.3432 0.3432 0.0000  4 As 2.54, 4 Os 2.70
3 Os 0.6583 0.6583 0.0000  4 As 2.57, 5 Co 2.70-2.87

***

(2)
A plane-wave DFT calculation with PBE was carried out for a relaxed Ba2Hg2Br crystal.

The raw total energy is -2.083 eV per atom. Its symmetry is P4/mbm (127). The calculation puts the volume at 407.72 Å³/cell. The energy above the most stable polymorph in this dataset comes out at 0.0000 eV/atom. The raw formation energy comes out at -4.29 eV per formula unit.

Lattice parameters (Å, degrees): 9.1791 9.1791 4.8391 90.00 90.00 90.00
With the nearest neighbours (Å) after each atom.
Element x y z (fractional)
1 Hg 0.1154 0.6154 0.5000  1 Hg 3.00
2 Hg 0.6154 0.8846 0.5000  1 Hg 3.00
3 Hg 0.8846 0.3846 0.5000  1 Hg 3.00
4 Hg 0.3846 0.1154 0.5000  1 Hg 3.00
5 Br 0.0000 0.0000 0.0000  4 Ba 3.36
6 Br 0.5000 0.5000 0.0000  4 Ba 3.36
7 Ba 0.3168 0.8168 0.0000  2 Br 3.36, 6 Hg 3.56-3.71
8 Ba 0.8168 0.6832 0.0000  2 Br 3.36, 6 Hg 3.56-3.71
9 Ba 0.6832 0.1832 0.0000  2 Br 3.36, 6 Hg 3.56-3.71
10 Ba 0.1832 0.3168 0.0000  2 Br 3.36, 6 Hg 3.56-3.71

***

(3)
A plane-wave DFT calculation with PBE was carried out for a relaxed Al2Pd8Pb crystal.

The raw total energy is -5.324 eV per atom. Its symmetry is C2/m (12). The calculation puts the volume at 175.50 Å³/cell. For the formation energy, the calculation gives -0.53 eV per atom. The energy above the most stable polymorph in this dataset comes out at 0.0000 eV/atom.

Lattice parameters (Å, degrees): 4.0417 6.4600 7.3762 107.90 105.90 90.00
With the nearest neighbours (Å) after each atom.
Element x y z (fractional)
1 Al 0.7895 0.3306 0.5790  9 Pd 2.53-2.77
2 Al 0.2105 0.6694 0.4210  9 Pd 2.53-2.77
3 Pd 0.3965 0.5193 0.7929  2 Al 2.59, 5 Pd 2.78-2.87
4 Pd 0.6796 0.9351 0.3593  3 Al 2.53-2.77, 1 Pb 2.71, 4 Pd 2.78-2.79
5 Pd 0.8320 0.7484 0.6639  3 Al 2.57-2.60, 3 Pd 2.79-2.82
6 Pd 0.9613 0.2725 0.9226  1 Al 2.58, 5 Pd 2.79-2.87, 2 Pb 2.85
7 Pd 0.1680 0.2516 0.3361  3 Al 2.57-2.60, 3 Pd 2.79-2.82
8 Pd 0.3204 0.0649 0.6407  3 Al 2.53-2.77, 1 Pb 2.71, 4 Pd 2.78-2.79
9 Pd 0.6035 0.4807 0.2071  2 Al 2.59, 5 Pd 2.78-2.87
10 Pd 0.0387 0.7275 0.0774  1 Al 2.58, 5 Pd 2.79-2.87, 2 Pb 2.85
11 Pb 0.5000 0.0000 0.0000  8 Pd 2.71-2.98

***

(4)
A plane-wave DFT calculation with PBE was carried out for a relaxed BiPt3Pb3 crystal.

The raw total energy is -4.871 eV per atom. Its symmetry is R-3 (148). The calculation puts the volume at 352.41 Å³/cell. For the formation energy, the calculation gives -0.14 eV per atom.

Lattice parameters (Å, degrees): 7.4858 7.4858 7.4858 68.96 68.96 68.96
With the nearest neighbours (Å) after each atom.
Element x y z (fractional)
1 Bi 0.3350 0.3350 0.3350  6 Pt 2.84-2.93
2 Bi 0.6650 0.6650 0.6650  6 Pt 2.84-2.93
3 Pt 0.5407 0.3111 0.9404  2 Bi 2.84-2.93, 5 Pb 2.84-3.03, 1 Pt 3.06
4 Pt 0.3111 0.9404 0.5407  2 Bi 2.84-2.93, 5 Pb 2.84-3.03, 1 Pt 3.06
5 Pt 0.9404 0.5407 0.3111  2 Bi 2.84-2.93, 5 Pb 2.84-3.03, 1 Pt 3.06
6 Pt 0.0596 0.4593 0.6889  2 Bi 2.84-2.93, 5 Pb 2.84-3.03, 1 Pt 3.06
7 Pt 0.6889 0.0596 0.4593  2 Bi 2.84-2.93, 5 Pb 2.84-3.03, 1 Pt 3.06
8 Pt 0.4593 0.6889 0.0596  2 Bi 2.84-2.93, 5 Pb 2.84-3.03, 1 Pt 3.06
9 Pb 0.8279 0.3589 0.1094  5 Pt 2.84-3.03
10 Pb 0.1094 0.8279 0.3589  5 Pt 2.84-3.03
11 Pb 0.3589 0.1094 0.8279  5 Pt 2.84-3.03
12 Pb 0.6411 0.8906 0.1721  5 Pt 2.84-3.03
13 Pb 0.8906 0.1721 0.6411  5 Pt 2.84-3.03
14 Pb 0.1721 0.6411 0.8906  5 Pt 2.84-3.03

***

(5)
A plane-wave DFT calculation with PBE was carried out for a relaxed LaSmHfN3 crystal.

The raw total energy is -8.684 eV per atom. Its symmetry is P2_1/m (11). The calculation puts the volume at 230.72 Å³/cell. The raw formation energy comes out at -7.53 eV per formula unit.

Lattice parameters (Å, degrees): 3.4525 6.6902 10.0045 93.22 90.00 90.00
With the nearest neighbours (Å) after each atom.
Element x y z (fractional)
1 La 0.7500 0.8114 0.7693  4 N 2.45-2.71
2 La 0.2500 0.1886 0.2307  4 N 2.45-2.71
3 Sm 0.2500 0.6599 0.1158  5 N 2.34-2.55
4 Sm 0.7500 0.3401 0.8842  5 N 2.34-2.55
5 Hf 0.2500 0.1646 0.5795  4 N 2.06-2.14
6 Hf 0.7500 0.8354 0.4205  4 N 2.06-2.14
7 N 0.2500 0.8468 0.5409  3 Hf 2.10-2.14
8 N 0.7500 0.8767 0.2179  1 Hf 2.06
9 N 0.7500 0.3786 0.1185  3 Sm 2.34-2.55, 2 La 2.45
10 N 0.7500 0.1532 0.4591  3 Hf 2.10-2.14
11 N 0.2500 0.6214 0.8815  3 Sm 2.34-2.55, 2 La 2.45
12 N 0.2500 0.1233 0.7821  1 Hf 2.06

***

(6)
A plane-wave DFT calculation with PBE was carried out for a relaxed Be2RhBr crystal.

The raw total energy is -4.005 eV per atom. Its symmetry is C2/m (12). The calculation puts the volume at 68.49 Å³/cell. The energy above the most stable polymorph in this dataset comes out at 0.2986 eV/atom. The raw formation energy comes out at 0.46 eV per formula unit.

Lattice parameters (Å, degrees): 3.8413 3.8413 5.5548 99.80 99.80 58.42
With the nearest neighbours (Å) after each atom.
Element x y z (fractional)
1 Be 0.9055 0.9055 0.1454  1 Br 2.24, 3 Rh 2.27, 2 Be 2.43
2 Be 0.5945 0.5945 0.3546  1 Br 2.24, 3 Rh 2.27, 2 Be 2.43
3 Rh 0.2500 0.2500 0.2500  6 Be 2.27
4 Br 0.7500 0.7500 0.7500  2 Be 2.24